[1]
MgC3: relaxed, PBEsol.

Lattice parameters (Å, degrees): 3.0560 4.9587 5.8886 90.00 90.00 90.00
Closest atoms and distances in Å follow each position.
Space group Immm (No. 71)
Symmetry-distinct sites (fractional):
Mg 0.0000 0.0000 0.0000  6 C 2.24-2.48
C 0.0000 0.5000 0.0000  2 C 1.31
C 0.0000 0.5000 0.2219  1 C 1.31

Summary:
- formation energy (kJ per mole of atoms) = 92.49
- energy above the most stable polymorph in this dataset (kJ per mole of atoms) = 0.0
- volume (Å³ per cell) = 89.2
- E (eV per cell) = -53.6

---

[2]
Nb4FeS8: relaxed, PBEsol.

Lattice parameters (Å, degrees): 23.9685 3.3023 5.6858 90.00 103.33 90.00
Closest atoms and distances in Å follow each position.
Space group C2/m (No. 12)
Symmetry-distinct sites (fractional):
Nb 0.1194 0.0000 0.1136  6 S 2.46-2.51
Nb 0.1229 0.5000 0.6311  6 S 2.43-2.51
Fe 0.0000 0.5000 0.5000  6 S 2.25-2.26
S 0.0519 0.5000 0.8841  1 Fe 2.25, 3 Nb 2.46-2.47
S 0.0535 0.0000 0.3931  2 Fe 2.26, 3 Nb 2.49-2.51
S 0.1882 0.0000 0.5197  3 Nb 2.46-2.51
S 0.1887 0.5000 0.0261  3 Nb 2.43-2.47

Summary:
- energy above the most stable polymorph in this dataset (kJ per mole of atoms) = 2.9
- volume (Å³ per cell) = 437.9
- formation energy from raw total energies (eV per atom) = -1.097
- E (eV per cell) = -203.2

---

[3]
CsCa3Cl: relaxed, PBEsol.

Lattice parameters (Å, degrees): 6.0570 6.0570 6.0570 90.00 90.00 90.00
Closest atoms and distances in Å follow each position.
Space group Pm-3m (No. 221)
Symmetry-distinct sites (fractional):
Cs 0.0000 0.0000 0.0000  12 Ca 4.28
Ca 0.0000 0.5000 0.5000  2 Cl 3.03
Cl 0.5000 0.5000 0.5000  6 Ca 3.03

Summary:
- energy above the most stable polymorph in this dataset (kJ per mole of atoms) = 0.0
- volume (Å³ per cell) = 222.2
- formation energy from raw total energies (eV per atom) = -0.301
- E (eV per cell) = -10.9

---

[4]
CaSnTeI2: relaxed, PBEsol.

Lattice parameters (Å, degrees): 5.7906 5.7906 5.9453 90.00 90.00 90.00
Closest atoms and distances in Å follow each position.
Space group P4/mmm (No. 123)
Symmetry-distinct sites (fractional):
Ca 0.0000 0.0000 0.0000  4 Te 4.09, 8 I 4.15
Sn 0.5000 0.5000 0.5000  4 I 2.90, 2 Te 2.97
Te 0.5000 0.5000 0.0000  2 Sn 2.97
I 0.0000 0.5000 0.5000  2 Sn 2.90

Summary:
- volume (Å³ per cell) = 199.4
- formation energy from raw total energies (eV per atom) = -0.417
- E (eV per cell) = -15.5

---

[5]
LiZr2Os: relaxed, PBEsol.

Lattice parameters (Å, degrees): 3.2185 3.2185 27.0742 90.00 90.00 120.00
Closest atoms and distances in Å follow each position.
Space group R-3m (No. 166, hexagonal axes)
Symmetry-distinct sites (fractional):
Li 0.0000 0.0000 0.0000  6 Zr 3.17, 6 Li 3.22
Zr 0.0000 0.0000 0.2383  3 Os 2.69
Os 0.0000 0.0000 0.5000  6 Zr 2.69

Summary:
- formation energy (kJ per mole of atoms) = 17.94
- energy above the most stable polymorph in this dataset (kJ per mole of atoms) = 47.4
- volume (Å³ per cell) = 242.9
- E (eV per cell) = -94.9

---

[6]
MgCd2In: relaxed, PBEsol.

Lattice parameters (Å, degrees): 7.0929 7.0929 7.0929 90.00 90.00 90.00
Closest atoms and distances in Å follow each position.
Space group F-43m (No. 216)
Symmetry-distinct sites (fractional):
Mg 0.0000 0.0000 0.0000  4 Cd 3.07, 4 In 3.07
Cd 0.0000 0.0000 0.5000  4 Cd 3.07, 4 In 3.07
Cd 0.2500 0.2500 0.7500  4 Cd 3.07, 4 Mg 3.07
In 0.2500 0.2500 0.2500  4 Cd 3.07, 4 Mg 3.07

Summary:
- formation energy (kJ per mole of atoms) = -0.09
- volume (Å³ per cell) = 356.8
- E (eV per cell) = -28.4

---

[7]
SiI2NF: relaxed, PBEsol.

Lattice parameters (Å, degrees): 5.3826 5.3826 3.7233 90.00 90.00 90.00
Closest atoms and distances in Å follow each position.
Space group P4/mmm (No. 123)
Symmetry-distinct sites (fractional):
Si 0.0000 0.0000 0.0000  8 I 3.27
I 0.0000 0.5000 0.5000  2 F 2.69
N 0.5000 0.5000 0.0000  2 F 1.86
F 0.5000 0.5000 0.5000  2 N 1.86

Summary:
- volume (Å³ per cell) = 107.9
- formation energy from raw total energies (eV per atom) = 1.184
- E (eV per cell) = -13.8

---

[8]
TiSi3H: relaxed, PBEsol.

Lattice parameters (Å, degrees): 4.7229 4.7229 4.7229 90.00 90.00 90.00
Closest atoms and distances in Å follow each position.
Space group Pm-3m (No. 221)
Symmetry-distinct sites (fractional):
Ti 0.0000 0.0000 0.0000  6 Si 2.36
Si 0.0000 0.0000 0.5000  2 Ti 2.36
H 0.5000 0.5000 0.5000  12 Si 3.34

Summary:
- volume (Å³ per cell) = 105.3
- E (eV per cell) = -23.5

---

[9]
BaGaS3: relaxed, PBEsol.

Lattice parameters (Å, degrees): 5.7858 5.7858 5.7858 90.00 90.00 90.00
Closest atoms and distances in Å follow each position.
Space group Pm-3m (No. 221)
Symmetry-distinct sites (fractional):
Ba 0.0000 0.0000 0.0000  6 S 2.89
Ga 0.5000 0.5000 0.5000  12 S 4.09
S 0.0000 0.0000 0.5000  2 Ba 2.89

Summary:
- volume (Å³ per cell) = 193.7
- formation energy from raw total energies (eV per atom) = 0.356
- E (eV per cell) = -16.9

---

[10]
MgCdSi2: relaxed, PBEsol.

Lattice parameters (Å, degrees): 3.6529 4.5247 8.8631 90.00 90.00 90.00
Closest atoms and distances in Å follow each position.
Space group Imm2 (No. 44)
Symmetry-distinct sites (fractional):
Mg 0.0000 0.0000 0.0000  8 Si 2.94-3.09, 4 Cd 2.98-3.10
Cd 0.0000 0.5000 0.2180  8 Si 2.93-3.06, 4 Mg 2.98-3.10
Si 0.0000 0.0000 0.4497  2 Si 2.47
Si 0.0000 0.5000 0.7618  2 Si 2.47

Summary:
- energy above the most stable polymorph in this dataset (kJ per mole of atoms) = 0.0
- volume (Å³ per cell) = 146.5
- formation energy from raw total energies (eV per atom) = 0.192
- E (eV per cell) = -27.3

---

[11]
Na2ZrTeRh: relaxed, PBEsol.

Lattice parameters (Å, degrees): 5.8565 5.8565 4.5448 90.00 90.00 90.00
Closest atoms and distances in Å follow each position.
Space group P4/mmm (No. 123)
Symmetry-distinct sites (fractional):
Na 0.0000 0.5000 0.0000  2 Zr 2.93
Zr 0.0000 0.0000 0.0000  2 Rh 2.27
Te 0.5000 0.5000 0.5000  8 Na 3.71, 4 Rh 4.14
Rh 0.0000 0.0000 0.5000  2 Zr 2.27

Summary:
- volume (Å³ per cell) = 155.9
- formation energy from raw total energies (eV per atom) = 0.835
- E (eV per cell) = -19.4

---

[12]
RbBiAs6H24C8S12N2: relaxed, PBEsol.

Lattice parameters (Å, degrees): 9.7471 9.7471 27.5737 90.00 90.00 120.00
Closest atoms and distances in Å follow each position.
Space group R-3 (No. 148, hexagonal axes)
Symmetry-distinct sites (fractional):
Rb 0.0000 0.0000 0.0000  6 S 3.44, 6 H 3.60
Bi 0.0000 0.0000 0.5000  6 S 2.81
As 0.0482 0.8297 0.1437  3 S 2.22-2.35
H 0.0307 0.9115 0.2430  1 C 1.10
H 0.0364 0.8772 0.6325  1 C 1.10
H 0.0513 0.2372 0.3121  1 C 1.10
H 0.0869 0.5123 0.3532  1 C 1.10
C 0.0000 0.0000 0.2557  3 H 1.10
C 0.0368 0.8779 0.6725  3 H 1.10
S 0.0223 0.7730 0.4427  1 As 2.22
S 0.0487 0.8169 0.9001  2 As 2.32-2.35
N 0.0000 0.0000 0.3097  4 C 1.49

Summary:
- volume (Å³ per cell) = 2268.7
- E (eV per cell) = -819.8